## TbGe2Rh5 (GGA-PBE)

Data for crystalline TbGe2Rh5 at its relaxed geometry.

Output
- Formation energy from the elements: -445 kJ/mol of formula units
- SG: Immm, No. 71
- N(E_F): 7.18 states/eV/cell
- Total DFT energy (no corrections): -6.90 eV per atom

extended XYZ file:
```
8
Lattice="-1.923 3.475 4.977 1.923 -3.475 4.977 1.923 3.475 -4.977" Properties=species:S:1:pos:R:3 pbc="T T T"
Tb 0.000 0.000 0.000
Ge 1.923 0.000 2.552
Ge 0.000 3.475 2.425
Rh 1.923 2.090 -1.395
Rh 1.923 2.090 1.395
Rh 0.000 3.475 0.000
Rh 0.000 1.385 3.582
Rh 0.000 1.385 6.373
```

=====

## TbGe6Rh5 (GGA-PBE)

Data for crystalline TbGe6Rh5 at its relaxed geometry.

Output
- Formation energy from the elements: -551 kJ/mol of formula units
- SG: C2/m, No. 12
- N(E_F): 5.71 states/eV/cell
- Total DFT energy (no corrections): -6.23 eV per atom

extended XYZ file:
```
12
Lattice="2.748 -5.695 0.000 2.748 5.695 0.000 -2.715 0.000 6.359" Properties=species:S:1:pos:R:3 pbc="T T T"
Tb 0.000 0.000 0.000
Ge 0.756 3.507 4.414
Ge 2.024 3.507 1.945
Ge 0.230 0.000 5.002
Ge 2.551 0.000 1.357
Ge 0.756 -3.507 4.414
Ge 2.024 -3.507 1.945
Rh -1.358 0.000 3.179
Rh 2.748 2.196 0.000
Rh 1.390 1.396 3.179
Rh 1.390 -1.396 3.179
Rh 2.748 -2.196 0.000
```